# 1
First-principles (meta-GGA SCAN) data for TlIrOsPb2 at its PBEsol-relaxed geometry, as listed in the Alexandria database.

## Properties
Total energy ... -72.069 eV per atom
Spin magnetization ... 2.06 μB/f.u.
Energy relative to the elements ... 1.311 eV per atom
N(E_F) ... 3.536 states/eV/f.u.

Structure (POSCAR):
```
TlIrOsPb2
1.0
5.1023 0.0000 0.0000
0.0000 5.1248 0.0000
0.0000 0.0000 5.1248
Ir Pb Os Tl
1 2 1 1
Direct
0.0000 0.0000 0.0000
0.0000 0.0000 0.5000
0.0000 0.5000 0.0000
0.5000 0.5000 0.5000
0.5000 0.0000 0.0000
```


# 2
First-principles (meta-GGA SCAN) data for Ir2OsPdRu at its PBEsol-relaxed geometry, as listed in the Alexandria database.

## Properties
Total energy ... -54.438 eV per atom
Spin magnetization ... 0.78 μB/f.u.
Energy relative to the elements ... 1.898 eV per atom
N(E_F) ... 5.675 states/eV/f.u.

Structure (POSCAR):
```
Ir2OsPdRu
1.0
-3.9916 1.9646 -1.0198
-0.0646 -2.2461 -4.0741
-2.2554 -3.5485 1.9921
Ir Os Ru Pd
2 1 1 1
Direct
0.0000 0.5000 0.0000
0.0000 0.0000 0.5000
0.0000 0.0000 0.0000
0.5000 0.0000 0.0000
0.5000 0.5000 0.5000
```


# 3
First-principles (meta-GGA SCAN) data for Sb2IrOsPd at its PBEsol-relaxed geometry, as listed in the Alexandria database.

## Properties
Total energy ... -48.863 eV per atom
Spin magnetization ... 0.00 μB/f.u.
ΔE_f (raw) ... 1192 meV/atom
N(E_F) ... 3.879 states/eV/f.u.

Structure (POSCAR):
```
Sb2IrOsPd
1.0
-4.3800 -1.4433 1.0564
1.7899 -4.4478 1.3446
0.5829 1.6445 4.6637
Ir Sb Os Pd
1 2 1 1
Direct
0.5000 0.0000 0.0000
0.0000 0.0000 0.5000
0.0000 0.5000 0.0000
0.0000 0.0000 0.0000
0.5000 0.5000 0.5000
```


# 4
First-principles (meta-GGA SCAN) data for IrOs2PdSe at its PBEsol-relaxed geometry, as listed in the Alexandria database.

## Properties
Total energy ... -51.729 eV per atom
Spin magnetization ... 1.32 μB/f.u.
ΔE_f (raw) ... 1813 meV/atom
N(E_F) ... 4.138 states/eV/f.u.

Structure (POSCAR):
```
IrOs2PdSe
1.0
4.4371 0.0000 0.0000
0.0000 4.4371 0.0000
0.0000 0.0000 4.4524
Se Os Ir Pd
1 2 1 1
Direct
0.0000 0.0000 0.0000
0.0000 0.5000 0.0000
0.5000 0.0000 0.0000
0.5000 0.5000 0.5000
0.0000 0.0000 0.5000
```


# 5
First-principles (meta-GGA SCAN) data for IrOsPt2 at its PBEsol-relaxed geometry, as listed in the Alexandria database.

## Properties
Energy above the lowest structure with this stoichiometry ... 0 meV/atom
Total energy ... -70.834 eV per atom
Spin magnetization ... 0.00 μB/f.u.
Energy relative to the elements ... 0.008 eV per atom
N(E_F) ... 2.729 states/eV/f.u.

Structure (POSCAR):
```
IrOsPt2
1.0
-1.2305 1.8020 -1.6321
-0.3526 -1.9422 -1.8785
-6.9075 -1.8294 3.1880
Pt Ir Os
2 1 1
Direct
0.5000 0.5000 0.2553
0.0000 0.0000 0.9904
0.0000 0.0000 0.5126
0.5000 0.5000 0.7417
```


# 6
First-principles (meta-GGA SCAN) data for Ir2OsPt at its PBEsol-relaxed geometry, as listed in the Alexandria database.

## Properties
Energy above the lowest structure with this stoichiometry ... 30 meV/atom
Total energy ... -71.025 eV per atom
Spin magnetization ... 0.00 μB/f.u.
Energy relative to the elements ... 0.043 eV per atom
N(E_F) ... 3.213 states/eV/f.u.

Structure (POSCAR):
```
Ir2OsPt
1.0
2.7204 0.0000 0.0000
0.0000 3.8336 0.0000
0.0000 0.0000 5.4556
Ir Pt Os
2 1 1
Direct
0.0000 0.0000 0.2417
0.0000 0.0000 0.7583
0.5000 0.5000 0.5000
0.5000 0.5000 0.0000
```


# 7
First-principles (meta-GGA SCAN) data for IrOsPt2 at its PBEsol-relaxed geometry, as listed in the Alexandria database.

## Properties
Energy above the lowest structure with this stoichiometry ... 83 meV/atom
Total energy ... -70.751 eV per atom
Spin magnetization ... 0.00 μB/f.u.
Energy relative to the elements ... 0.091 eV per atom
N(E_F) ... 3.165 states/eV/f.u.

Structure (POSCAR):
```
IrOsPt2
1.0
2.7289 0.0000 0.0000
-1.3644 4.5338 -0.0019
0.0000 -0.8000 4.6719
Os Pt Ir
1 2 1
Direct
0.7530 0.5061 0.2612
0.0030 0.0059 0.0017
0.2484 0.4968 0.7508
0.4956 0.9911 0.4863
```


# 8
First-principles (meta-GGA SCAN) data for IrOsPt2 at its PBEsol-relaxed geometry, as listed in the Alexandria database.

## Properties
Energy above the lowest structure with this stoichiometry ... 29 meV/atom
Total energy ... -70.805 eV per atom
Spin magnetization ... 0.00 μB/f.u.
Energy relative to the elements ... 0.036 eV per atom
N(E_F) ... 3.447 states/eV/f.u.

Structure (POSCAR):
```
IrOsPt2
1.0
-0.5431 -2.5772 0.7238
1.4775 -2.0500 -1.0369
6.0822 -0.8393 6.7287
Pt Os Ir
2 1 1
Direct
0.7512 0.7512 0.7464
0.9977 0.9977 0.0069
0.2479 0.2479 0.2562
0.5032 0.5032 0.4905
```


# 9
First-principles (meta-GGA SCAN) data for IrOsPt2 at its PBEsol-relaxed geometry, as listed in the Alexandria database.

## Properties
Energy above the lowest structure with this stoichiometry ... 54 meV/atom
Total energy ... -70.780 eV per atom
Spin magnetization ... 0.00 μB/f.u.
Energy relative to the elements ... 0.061 eV per atom
N(E_F) ... 3.286 states/eV/f.u.

Structure (POSCAR):
```
IrOsPt2
1.0
-2.2804 1.2352 0.8617
-1.9015 -3.3453 -0.2368
1.3485 -1.1342 5.1942
Os Pt Ir
1 2 1
Direct
0.5000 0.5000 0.7404
0.5000 0.5000 0.2517
0.0000 0.0000 0.9948
0.0000 0.0000 0.5131
```


# 10
First-principles (meta-GGA SCAN) data for Ir2OsPt at its PBEsol-relaxed geometry, as listed in the Alexandria database.

## Properties
Energy above the lowest structure with this stoichiometry ... 68 meV/atom
Total energy ... -70.987 eV per atom
Spin magnetization ... 0.00 μB/f.u.
Energy relative to the elements ... 0.081 eV per atom
N(E_F) ... 3.575 states/eV/f.u.

Structure (POSCAR):
```
Ir2OsPt
1.0
-1.9233 -2.2973 -2.3998
2.8509 -2.5650 0.1707
-2.1770 0.7270 4.1190
Os Ir Pt
1 2 1
Direct
0.0000 0.0000 0.0000
0.7500 0.2500 0.5000
0.2500 0.7500 0.5000
0.5000 0.5000 0.0000
```


# 11
First-principles (meta-GGA SCAN) data for Ir2OsPt at its PBEsol-relaxed geometry, as listed in the Alexandria database.

## Properties
Energy above the lowest structure with this stoichiometry ... 61 meV/atom
Total energy ... -70.994 eV per atom
Spin magnetization ... 0.00 μB/f.u.
Energy relative to the elements ... 0.074 eV per atom
N(E_F) ... 3.821 states/eV/f.u.

Structure (POSCAR):
```
Ir2OsPt
1.0
-2.3738 1.2597 -0.4145
-2.2527 -1.4565 -0.4443
-3.1605 -0.2341 8.4707
Ir Os Pt
2 1 1
Direct
0.7513 0.7513 0.7462
0.0014 0.0014 0.9957
0.4982 0.4982 0.5054
0.2491 0.2491 0.2527
```


# 12
First-principles (meta-GGA SCAN) data for Ir2OsPt at its PBEsol-relaxed geometry, as listed in the Alexandria database.

## Properties
Energy above the lowest structure with this stoichiometry ... 84 meV/atom
Total energy ... -70.971 eV per atom
Spin magnetization ... 0.00 μB/f.u.
Energy relative to the elements ... 0.097 eV per atom
N(E_F) ... 3.530 states/eV/f.u.

Structure (POSCAR):
```
Ir2OsPt
1.0
-1.9995 -0.2460 -1.8198
-2.0985 -1.9566 2.5703
-2.1821 4.6619 1.7672
Ir Os Pt
2 1 1
Direct
0.5000 0.5000 0.2564
0.0000 0.0000 0.0030
0.0000 0.0000 0.4930
0.5000 0.5000 0.7476
```


# 13
First-principles (meta-GGA SCAN) data for Ir2OsPt at its PBEsol-relaxed geometry, as listed in the Alexandria database.

## Properties
Energy above the lowest structure with this stoichiometry ... 82 meV/atom
Total energy ... -70.973 eV per atom
Spin magnetization ... 0.00 μB/f.u.
Energy relative to the elements ... 0.095 eV per atom
N(E_F) ... 3.638 states/eV/f.u.

Structure (POSCAR):
```
Ir2OsPt
1.0
2.7193 0.0000 0.0000
0.0000 4.7056 -0.0020
-1.3597 -0.7741 4.4485
Os Ir Pt
1 2 1
Direct
0.5032 0.5080 0.0064
0.9973 0.9969 0.9947
0.2485 0.7440 0.4970
0.7510 0.2511 0.5020
```


# 14
First-principles (meta-GGA SCAN) data for IrOsPt2 at its PBEsol-relaxed geometry, as listed in the Alexandria database.

## Properties
Energy above the lowest structure with this stoichiometry ... 91 meV/atom
Total energy ... -70.742 eV per atom
Spin magnetization ... 0.00 μB/f.u.
Energy relative to the elements ... 0.099 eV per atom
N(E_F) ... 2.697 states/eV/f.u.

Structure (POSCAR):
```
IrOsPt2
1.0
3.8493 0.0000 0.0000
0.0000 3.8493 0.0000
-1.9247 -1.9247 3.8899
Os Pt Ir
1 2 1
Direct
0.2500 0.7500 0.5000
0.7500 0.2500 0.5000
0.5000 0.5000 0.0000
0.0000 0.0000 0.0000
```


# 15
First-principles (meta-GGA SCAN) data for Ir2OsPt at its PBEsol-relaxed geometry, as listed in the Alexandria database.

## Properties
Energy above the lowest structure with this stoichiometry ... 385 meV/atom
Total energy ... -70.669 eV per atom
Spin magnetization ... 0.00 μB/f.u.
Energy relative to the elements ... 0.399 eV per atom
N(E_F) ... 4.945 states/eV/f.u.

Structure (POSCAR):
```
Ir2OsPt
1.0
-1.3661 -0.7672 -2.1522
-0.2697 -1.3601 2.3024
-7.1241 5.6553 2.5061
Pt Ir Os
1 2 1
Direct
0.5000 0.0000 0.7492
0.5000 0.0000 0.2514
0.0000 0.0000 0.0042
0.0000 0.0000 0.4953
```